# 1
## Sc3RhF (meta-GGA SCAN)

Data for a crystal of Sc3RhF relaxed with PBEsol.

## Properties
M_tot ... 0.0 Bohr magnetons per cell
SG ... Pm-3m, No. 221
DOS at the Fermi energy ... 5.933 states/eV/cell
Energy relative to the elements, uncorrected ... -6.1 eV per formula unit

abc: 4.3237 4.3237 4.3237
angles: 90.00 90.00 90.00
Last column: nearest neighbours and their distance in Å.
Positions (direct):
Sc1 0.5000 0.0000 0.0000  2 F 2.16
Sc2 0.0000 0.0000 0.5000  2 F 2.16
Sc3 0.0000 0.5000 0.0000  2 F 2.16
Rh1 0.5000 0.5000 0.5000  12 Sc 3.06
F1 0.0000 0.0000 0.0000  6 Sc 2.16

# 2
## TaTiO4 (meta-GGA SCAN)

Data for a crystal of TaTiO4 relaxed with PBEsol.

## Properties
M_tot ... 2.0 Bohr magnetons per cell
SG ... I4_1md, No. 109
DOS at the Fermi energy ... 4.935 states/eV/cell
Energy relative to the elements, uncorrected ... -18.6 eV per formula unit

abc: 5.5970 5.5970 5.5970
angles: 106.64 106.64 115.30
Last column: nearest neighbours and their distance in Å.
Positions (direct):
Ta1 0.7442 0.7442 0.0000  6 O 1.97-2.02
Ta2 0.9942 0.4942 0.5000  6 O 1.97-2.02
Ti1 0.5032 0.0032 0.5000  6 O 2.01-2.03
Ti2 0.2532 0.2532 0.0000  6 O 2.01-2.03
O1 0.5526 0.2528 0.2999  1 Ta 1.97, 2 Ti 2.01
O2 0.4480 0.7485 0.6995  2 Ta 2.01-2.02, 1 Ti 2.03
O3 0.5028 0.3026 0.7999  1 Ta 1.97, 2 Ti 2.01
O4 0.9985 0.7991 0.8005  2 Ta 2.01-2.02, 1 Ti 2.03
O5 0.9529 0.2528 0.7001  1 Ta 1.97, 2 Ti 2.01
O6 0.5028 0.7029 0.2001  1 Ta 1.97, 2 Ti 2.01
O7 0.0491 0.7485 0.3005  2 Ta 2.01-2.02, 1 Ti 2.03
O8 0.9985 0.1980 0.1995  2 Ta 2.01-2.02, 1 Ti 2.03

# 3
## CsSnF3 (meta-GGA SCAN)

Data for a crystal of CsSnF3 relaxed with PBEsol.

## Properties
M_tot ... 0.0 Bohr magnetons per cell
SG ... P2_1/c, No. 14
DOS at the Fermi energy ... 0.000 states/eV/cell
Energy relative to the elements, uncorrected ... -13.2 eV per formula unit

abc: 4.5145 6.6416 14.3216
angles: 90.00 89.82 90.00
Last column: nearest neighbours and their distance in Å.
Positions (direct):
Sn1 0.2484 0.9673 0.8856  4 F 2.06-2.29
Sn2 0.7516 0.0327 0.1144  4 F 2.06-2.29
Sn3 0.2516 0.4673 0.6144  4 F 2.06-2.29
Sn4 0.7484 0.5327 0.3856  4 F 2.06-2.29
F1 0.7480 0.8067 0.4533  1 Sn 2.06
F2 0.2495 0.7987 0.7639  1 Sn 2.07
F3 0.2516 0.0723 0.1356  2 Sn 2.29
F4 0.2484 0.5723 0.3644  2 Sn 2.29
F5 0.2480 0.6933 0.9533  1 Sn 2.06
F6 0.7516 0.4277 0.6356  2 Sn 2.29
F7 0.2505 0.2987 0.7361  1 Sn 2.07
F8 0.2520 0.1933 0.5467  1 Sn 2.06
F9 0.7484 0.9277 0.8644  2 Sn 2.29
F10 0.7495 0.7013 0.2639  1 Sn 2.07
F11 0.7505 0.2013 0.2361  1 Sn 2.07
F12 0.7520 0.3067 0.0467  1 Sn 2.06
Cs1 0.7491 0.4712 0.8563  7 F 2.94-3.17
Cs2 0.7509 0.9712 0.6437  7 F 2.94-3.17
Cs3 0.2491 0.0288 0.3563  7 F 2.94-3.17
Cs4 0.2509 0.5288 0.1437  7 F 2.94-3.17

# 4
## BeCd3N (meta-GGA SCAN)

Data for a crystal of BeCd3N relaxed with PBEsol.

## Properties
M_tot ... 2.5 Bohr magnetons per cell
SG ... Pm-3m, No. 221
DOS at the Fermi energy ... 1.502 states/eV/cell
Energy relative to the elements, uncorrected ... 5.2 eV per formula unit

abc: 4.6256 4.6256 4.6256
angles: 90.00 90.00 90.00
Last column: nearest neighbours and their distance in Å.
Positions (direct):
Cd1 0.5000 0.0000 0.0000  2 Be 2.31
Cd2 0.0000 0.0000 0.5000  2 Be 2.31
Cd3 0.0000 0.5000 0.0000  2 Be 2.31
Be1 0.0000 0.0000 0.0000  6 Cd 2.31
N1 0.5000 0.5000 0.5000  12 Cd 3.27

# 5
## Sm3Si3Ni (meta-GGA SCAN)

Data for a crystal of Sm3Si3Ni relaxed with PBEsol.

## Properties
M_tot ... 0.0 Bohr magnetons per cell
SG ... Imm2, No. 44
DOS at the Fermi energy ... 5.168 states/eV/cell
Energy relative to the elements, uncorrected ... -5.5 eV per formula unit

abc: 3.9605 4.1786 9.2482
angles: 103.06 102.36 90.00
Last column: nearest neighbours and their distance in Å.
Positions (direct):
Si1 0.1413 0.6413 0.2827  2 Si 2.46
Si2 0.5584 0.5584 0.1167  1 Ni 2.22, 2 Si 2.46
Si3 0.8648 0.3648 0.7296  2 Ni 2.31
Sm1 0.6851 0.1851 0.3702  7 Si 2.98-3.16
Sm2 0.3190 0.8190 0.6380  2 Ni 2.89, 5 Si 2.99-3.12
Sm3 0.9992 0.9992 0.9984  8 Si 3.06-3.26, 4 Ni 3.11
Ni1 0.4323 0.4323 0.8645  3 Si 2.22-2.31

# 6
## AgAsOs2 (meta-GGA SCAN)

Data for a crystal of AgAsOs2 relaxed with PBEsol.

## Properties
M_tot ... 0.0 Bohr magnetons per cell
SG ... P4mm, No. 99
DOS at the Fermi energy ... 2.056 states/eV/cell
Formation energy ... 0.36 eV/atom

abc: 2.8117 2.8117 7.9921
angles: 90.00 90.00 90.00
Last column: nearest neighbours and their distance in Å.
Positions (direct):
Ag1 0.0000 0.0000 0.4812  4 Ag 2.81, 4 Os 2.87, 4 As 3.13
As1 0.5000 0.5000 0.7841  4 Os 2.70, 4 As 2.81
Os1 0.5000 0.5000 0.2222  8 Os 2.60-2.81, 4 Ag 2.87
Os2 0.0000 0.0000 0.0125  8 Os 2.60-2.81, 4 As 2.70

Look up the M_tot of the sixth one.
0.0 Bohr magnetons per cell

What is the M_tot in the fourth record?
2.5 Bohr magnetons per cell